First-principles (meta-GGA SCAN) data for BaCa2Sb at its PBEsol-relaxed geometry, as listed in Alexandria.

- Total energy: -293.9 eV per cell
- Magnetization: 1.77 Bohr magnetons per cell
- Space group: R3m, No. 160

abc: 4.6635 4.6635 29.6647
angles: 90.00 90.00 120.00
Sites, in units of the cell vectors:
1 Ba 0.0000 0.0000 0.0000
2 Ba 0.3333 0.6667 0.6667
3 Ba 0.6667 0.3333 0.3333
4 Ca 0.0000 0.0000 0.2170
5 Ca 0.0000 0.0000 0.4498
6 Ca 0.3333 0.6667 0.1164
7 Ca 0.3333 0.6667 0.8837
8 Ca 0.6667 0.3333 0.5503
9 Ca 0.6667 0.3333 0.7831
10 Sb 0.0000 0.0000 0.7350
11 Sb 0.3333 0.6667 0.4016
12 Sb 0.6667 0.3333 0.0683